(1)
Here is an optimized crystal structure of LaGe2Pt5Au from Alexandria. Energies are from PBE-GGA.

a = 4.2321 Å, b = 4.2321 Å, c = 9.3202 Å
α = 90.00°, β = 90.00°, γ = 90.00°
With the nearest neighbours (Å) after each atom.
Space group P4/mmm (No. 123)
Asymmetric unit:
La1 0.0000 0.0000 0.0000 (multiplicity 1)  12 Pt 2.99-3.05
Ge1 0.5000 0.5000 0.3714 (multiplicity 2)  1 Ge 2.40, 4 Pt 2.47
Pt1 0.0000 0.5000 0.2350 (multiplicity 4)  2 Ge 2.47
Pt2 0.5000 0.5000 0.0000 (multiplicity 1)  4 La 2.99, 8 Pt 3.05
Au1 0.0000 0.0000 0.5000 (multiplicity 1)  8 Ge 3.22, 8 Pt 3.25

The calculation puts the formation energy at -4.3 eV per formula unit. For the density of states at the Fermi level, the calculation gives 0.31 states/eV per atom. The total energy comes out at -5.78 eV per atom.

(2)
Here is an optimized crystal structure of ZrInPt3 from Alexandria. Energies are from PBE-GGA.

a = 5.0248 Å, b = 5.0248 Å, c = 5.0248 Å
α = 90.00°, β = 90.00°, γ = 90.00°
With the nearest neighbours (Å) after each atom.
Space group Pm-3m (No. 221)
Asymmetric unit:
Zr1 0.0000 0.0000 0.0000 (multiplicity 1)  6 Pt 2.51
In1 0.5000 0.5000 0.5000 (multiplicity 1)  12 Pt 3.55
Pt1 0.0000 0.0000 0.5000 (multiplicity 3)  2 Zr 2.51

The calculation puts the formation energy at 2.6 eV per formula unit. For the density of states at the Fermi level, the calculation gives 0.83 states/eV per atom. The total energy comes out at -5.37 eV per atom. The calculation puts the distance to the lowest polymorph of the same formula at 0.000 eV/atom.

(3)
Here is an optimized crystal structure of SrNdSm from Alexandria. Energies are from PBE-GGA.

a = 3.8027 Å, b = 3.8027 Å, c = 9.4638 Å
α = 90.00°, β = 90.00°, γ = 120.00°
With the nearest neighbours (Å) after each atom.
Space group P3m1 (No. 156)
Asymmetric unit:
Sr1 0.0000 0.0000 0.0000 (multiplicity 1)  6 Sr 3.80, 3 Sm 3.97, 3 Nd 4.01
Nd1 0.6667 0.3333 0.3545 (multiplicity 1)  3 Sm 3.55, 6 Nd 3.80
Sm1 0.3333 0.6667 0.6499 (multiplicity 1)  3 Nd 3.55, 6 Sm 3.80, 3 Sr 3.97

The calculation puts the formation energy at 0.3 eV per formula unit. For the density of states at the Fermi level, the calculation gives 1.28 states/eV per atom. The total energy comes out at -3.61 eV per atom. The calculation puts the distance to the lowest polymorph of the same formula at 0.019 eV/atom.

(4)
Here is an optimized crystal structure of AcLa7Tb2 from Alexandria. Energies are from PBE-GGA.

a = 6.4322 Å, b = 6.4690 Å, c = 9.8492 Å
α = 109.01°, β = 102.64°, γ = 99.58°
With the nearest neighbours (Å) after each atom.
Space group P-1 (No. 2)
Asymmetric unit:
Ac1 0.0000 0.0000 0.0000 (multiplicity 1)  10 La 3.73-3.77, 2 Tb 3.77
La1 0.0031 0.6009 0.2069 (multiplicity 2)  3 Tb 3.63-3.73, 7 La 3.68-3.84, 2 Ac 3.75-3.77
La2 0.4924 0.5992 0.6952 (multiplicity 2)  3 Tb 3.65-3.75, 8 La 3.67-3.79, 1 Ac 3.77
La3 0.4971 0.2042 0.8959 (multiplicity 2)  9 La 3.69-3.84, 1 Tb 3.73, 2 Ac 3.73-3.76
La4 0.5000 0.0000 0.5000 (multiplicity 1)  8 La 3.68-3.74, 4 Tb 3.70
Tb1 0.0011 0.2004 0.4046 (multiplicity 2)  9 La 3.63-3.75, 2 Tb 3.66-3.72, 1 Ac 3.77

The calculation puts the formation energy at 0.2 eV per formula unit. For the density of states at the Fermi level, the calculation gives 1.95 states/eV per atom. The total energy comes out at -4.76 eV per atom. The calculation puts the distance to the lowest polymorph of the same formula at 0.000 eV/atom.

(5)
Here is an optimized crystal structure of MgRe3F from Alexandria. Energies are from PBE-GGA.

a = 4.2558 Å, b = 4.2558 Å, c = 4.2558 Å
α = 90.00°, β = 90.00°, γ = 90.00°
With the nearest neighbours (Å) after each atom.
Space group Pm-3m (No. 221)
Asymmetric unit:
Mg1 0.0000 0.0000 0.0000 (multiplicity 1)  12 Re 3.01
Re1 0.0000 0.5000 0.5000 (multiplicity 3)  2 F 2.13
F1 0.5000 0.5000 0.5000 (multiplicity 1)  6 Re 2.13

For the density of states at the Fermi level, the calculation gives 1.93 states/eV per atom. The total energy comes out at -6.83 eV per atom. The formation energy from raw total energies is 6.65 eV/f.u. The calculation puts the distance to the lowest polymorph of the same formula at 0.000 eV/atom.

(6)
Here is an optimized crystal structure of TlAgPb2 from Alexandria. Energies are from PBE-GGA.

a = 3.4779 Å, b = 3.4779 Å, c = 9.1349 Å
α = 90.00°, β = 90.00°, γ = 90.00°
With the nearest neighbours (Å) after each atom.
Space group P4/mmm (No. 123)
Asymmetric unit:
Tl1 0.0000 0.0000 0.0000 (multiplicity 1)  4 Tl 3.48, 8 Pb 3.60
Ag1 0.0000 0.0000 0.5000 (multiplicity 1)  8 Pb 3.13, 4 Ag 3.48
Pb1 0.5000 0.5000 0.2873 (multiplicity 2)  4 Ag 3.13, 4 Pb 3.48

The calculation puts the formation energy at 0.1 eV per formula unit. For the density of states at the Fermi level, the calculation gives 0.32 states/eV per atom. The total energy comes out at -3.14 eV per atom. The calculation puts the distance to the lowest polymorph of the same formula at 0.000 eV/atom.

(7)
Here is an optimized crystal structure of Sc4Pt2RhAu from Alexandria. Energies are from PBE-GGA.

a = 4.6724 Å, b = 4.6724 Å, c = 23.0427 Å
α = 90.00°, β = 90.00°, γ = 120.00°
With the nearest neighbours (Å) after each atom.
Space group R-3m (No. 166, hexagonal axes)
Asymmetric unit:
Sc1 0.0000 0.0000 0.1216 (multiplicity 6)  1 Rh 2.80, 4 Pt 2.86-3.02, 3 Au 2.89
Sc2 0.0000 0.0000 0.3729 (multiplicity 6)  4 Pt 2.77-2.86, 3 Rh 2.85, 1 Au 2.93
Pt1 0.0000 0.0000 0.2525 (multiplicity 6)  8 Sc 2.77-3.02
Rh1 0.0000 0.0000 0.0000 (multiplicity 3)  8 Sc 2.80-2.85
Au1 0.0000 0.0000 0.5000 (multiplicity 3)  8 Sc 2.89-2.93

The calculation puts the formation energy at -8.6 eV per formula unit. For the density of states at the Fermi level, the calculation gives 0.65 states/eV per atom. The total energy comes out at -7.08 eV per atom.

(8)
Here is an optimized crystal structure of Pm2DyHo4Tm from Alexandria. Energies are from PBE-GGA.

a = 13.5764 Å, b = 13.2356 Å, c = 6.7822 Å
α = 90.00°, β = 119.97°, γ = 90.00°
With the nearest neighbours (Å) after each atom.
Space group C2/c (No. 15)
Asymmetric unit:
Pm1 0.0000 0.0000 0.0000 (multiplicity 4)  6 Ho 3.37-3.44, 2 Pm 3.39
Pm2 0.2500 0.2500 0.0000 (multiplicity 4)  6 Ho 3.33-3.40, 2 Dy 3.39
Dy1 0.2500 0.2500 0.5000 (multiplicity 4)  6 Ho 3.29-3.39, 2 Pm 3.39
Ho1 0.0003 0.2543 0.0014 (multiplicity 8)  1 Tm 3.25, 3 Pm 3.37-3.40, 2 Ho 3.38-3.41, 2 Dy 3.39
Ho2 0.2459 0.4987 0.4951 (multiplicity 8)  1 Dy 3.29, 3 Pm 3.33-3.44, 2 Tm 3.35-3.36, 2 Ho 3.39
Tm1 0.0000 0.5000 0.0000 (multiplicity 4)  6 Ho 3.25-3.36, 2 Tm 3.39

The calculation puts the formation energy at 3.5 eV per formula unit. For the density of states at the Fermi level, the calculation gives 2.18 states/eV per atom. The total energy comes out at -4.18 eV per atom.

(9)
Here is an optimized crystal structure of ZnIn2CuN from Alexandria. Energies are from PBE-GGA.

a = 5.5677 Å, b = 5.5677 Å, c = 3.5109 Å
α = 90.00°, β = 90.00°, γ = 90.00°
With the nearest neighbours (Å) after each atom.
Space group P4/mmm (No. 123)
Asymmetric unit:
Zn1 0.0000 0.0000 0.0000 (multiplicity 1)  2 N 1.76
In1 0.0000 0.5000 0.0000 (multiplicity 2)  2 Zn 2.78
Cu1 0.5000 0.5000 0.5000 (multiplicity 1)  8 In 3.29, 2 Cu 3.51
N1 0.0000 0.0000 0.5000 (multiplicity 1)  2 Zn 1.76

For the density of states at the Fermi level, the calculation gives 0.10 states/eV per atom. The total energy comes out at -3.08 eV per atom. The formation energy from raw total energies is 3.76 eV/f.u.

(10)
Here is an optimized crystal structure of TbPmTe2 from Alexandria. Energies are from PBE-GGA.

a = 4.2812 Å, b = 4.2812 Å, c = 29.3946 Å
α = 90.00°, β = 90.00°, γ = 120.00°
With the nearest neighbours (Å) after each atom.
Space group R-3m (No. 166, hexagonal axes)
Asymmetric unit:
Tb1 0.0000 0.0000 0.0000 (multiplicity 3)  6 Te 3.07
Pm1 0.0000 0.0000 0.5000 (multiplicity 3)  2 Te 3.08
Te1 0.0000 0.0000 0.3952 (multiplicity 6)  3 Tb 3.07, 1 Pm 3.08

For the density of states at the Fermi level, the calculation gives 0.54 states/eV per atom. The total energy comes out at -4.85 eV per atom. The formation energy from raw total energies is -3.73 eV/f.u. The calculation puts the distance to the lowest polymorph of the same formula at 0.451 eV/atom.

(11)
Here is an optimized crystal structure of Dy2TmTh from Alexandria. Energies are from PBE-GGA.

a = 4.9879 Å, b = 4.9879 Å, c = 5.0236 Å
α = 90.00°, β = 90.00°, γ = 90.00°
With the nearest neighbours (Å) after each atom.
Space group P4/mmm (No. 123)
Asymmetric unit:
Dy1 0.0000 0.5000 0.0000 (multiplicity 2)  4 Dy 3.53, 4 Th 3.54, 4 Tm 3.54
Tm1 0.0000 0.0000 0.5000 (multiplicity 1)  4 Th 3.53, 8 Dy 3.54
Th1 0.5000 0.5000 0.5000 (multiplicity 1)  4 Tm 3.53, 8 Dy 3.54

The calculation puts the formation energy at 0.1 eV per formula unit. For the density of states at the Fermi level, the calculation gives 1.47 states/eV per atom. The total energy comes out at -5.24 eV per atom. The calculation puts the distance to the lowest polymorph of the same formula at 0.010 eV/atom.

(12)
Here is an optimized crystal structure of RbZnCl3 from Alexandria. Energies are from PBE-GGA.

a = 7.1679 Å, b = 10.1194 Å, c = 7.2027 Å
α = 90.00°, β = 90.00°, γ = 90.00°
With the nearest neighbours (Å) after each atom.
Space group Pnma (No. 62)
Asymmetric unit:
Rb1 0.9997 0.2500 0.0002 (multiplicity 4)  12 Cl 3.53-3.67
Zn1 0.0000 0.0000 0.5000 (multiplicity 4)  4 Cl 2.32-2.53
Cl1 0.0014 0.2500 0.4914 (multiplicity 4)  2 Zn 2.53
Cl2 0.2326 0.5044 0.2765 (multiplicity 8)  1 Zn 2.32

For the density of states at the Fermi level, the calculation gives 0.00 states/eV per atom. The total energy comes out at -2.97 eV per atom. The formation energy from raw total energies is -7.08 eV/f.u.